Material: YHo2MoO6
Method: DFT, GGA+U
State: optimized geometry

Geometry as POSCAR:
```
YHo2MoO6
1.0
-1.043 -5.533 0.972
-0.482 -3.628 -4.386
4.431 -3.954 -0.938
O Y Mo Ho
6 1 1 2
Cartesian
-0.141 -8.354 -2.007
0.456 -5.524 -4.110
2.580 -7.323 -0.567
0.387 -5.127 -0.559
3.042 -5.196 -2.429
2.596 -7.858 -3.379
1.324 -9.681 -3.299
-0.279 -3.096 -1.129
4.108 -3.894 -0.952
1.038 -6.482 -2.193
```

Results
The value obtained for the total magnetization is 3.0 μB per cell. For the uncorrected energy, the calculation gives -8.30 eV/atom.